No. 1
Material: Hf2CN2
Method: DFT, GGA-PBE
State: relaxed

D(E_F): 0.45 states/eV per atom
magnetization: 0.00 μB per formula unit
E_form (uncorrected): -0.478 eV per atom
energy relative to the lowest polymorph listed for this composition: 0.000 eV per atom

```
data_Hf2CN2
_chemical_formula_sum 'Hf4 C2 N4'
_cell_length_a 6.143
_cell_length_b 6.143
_cell_length_c 3.021
_cell_angle_alpha 90.00
_cell_angle_beta 90.00
_cell_angle_gamma 90.00
_symmetry_space_group_name_H-M 'P 4/m b m'
_symmetry_Int_Tables_number 127
_symmetry_space_group_name_Hall '-P 4 2ab'
loop_
_atom_site_label
_atom_site_fract_x
_atom_site_fract_y
_atom_site_fract_z
Hf1 0.173 0.327 0.000
C1 0.000 0.000 0.000
N1 0.142 0.642 0.500
```

***

No. 2
Material: Hf2CN
Method: DFT, GGA-PBE
State: relaxed

D(E_F): 0.57 states/eV per atom
magnetization: 0.00 μB per formula unit
E_form (uncorrected): -1.168 eV per atom
energy relative to the lowest polymorph listed for this composition: 0.247 eV per atom

```
data_Hf2CN
_chemical_formula_sum 'Hf6 C3 N3'
_cell_length_a 3.2085
_cell_length_b 3.2085
_cell_length_c 16.7487
_cell_angle_alpha 90.00
_cell_angle_beta 90.00
_cell_angle_gamma 120.00
_symmetry_space_group_name_H-M 'R 3 m'
_symmetry_Int_Tables_number 160
_symmetry_space_group_name_Hall 'R 3 -2"'
loop_
_atom_site_label
_atom_site_fract_x
_atom_site_fract_y
_atom_site_fract_z
Hf1 0.0000 0.0000 0.0000
Hf2 0.0000 0.0000 0.1767
C1 0.0000 0.0000 0.5856
N1 0.0000 0.0000 0.7564
```

***

No. 3
Material: HfCN3
Method: DFT, GGA-PBE
State: relaxed

D(E_F): 0.74 states/eV per atom
magnetization: 2.89 μB per formula unit
E_form (uncorrected): 2.210 eV per atom

```
data_HfCN3
_chemical_formula_sum 'Hf1 C1 N3'
_cell_length_a 4.197
_cell_length_b 4.197
_cell_length_c 4.197
_cell_angle_alpha 90.00
_cell_angle_beta 90.00
_cell_angle_gamma 90.00
_symmetry_space_group_name_H-M 'P m -3 m'
_symmetry_Int_Tables_number 221
_symmetry_space_group_name_Hall '-P 4 2 3'
loop_
_atom_site_label
_atom_site_fract_x
_atom_site_fract_y
_atom_site_fract_z
Hf1 0.000 0.000 0.000
C1 0.500 0.500 0.500
N1 0.000 0.000 0.500
```

***

No. 4
Material: HfCN3
Method: DFT, GGA-PBE
State: relaxed

D(E_F): 0.55 states/eV per atom
magnetization: 0.00 μB per formula unit
E_form (uncorrected): 1.069 eV per atom

```
data_HfCN3
_chemical_formula_sum 'Hf1 C1 N3'
_cell_length_a 3.414
_cell_length_b 3.414
_cell_length_c 3.414
_cell_angle_alpha 90.00
_cell_angle_beta 90.00
_cell_angle_gamma 90.00
_symmetry_space_group_name_H-M 'P m -3 m'
_symmetry_Int_Tables_number 221
_symmetry_space_group_name_Hall '-P 4 2 3'
loop_
_atom_site_label
_atom_site_fract_x
_atom_site_fract_y
_atom_site_fract_z
Hf1 0.000 0.000 0.000
C1 0.500 0.500 0.500
N1 0.000 0.500 0.500
```

***

No. 5
Material: Hf6C5N
Method: DFT, GGA-PBE
State: relaxed

D(E_F): 0.16 states/eV per atom
magnetization: 0.00 μB per formula unit
E_form (uncorrected): -1.126 eV per atom

```
data_Hf6C5N
_chemical_formula_sum 'Hf12 C10 N2'
_cell_length_a 5.677
_cell_length_b 9.826
_cell_length_c 5.673
_cell_angle_alpha 90.00
_cell_angle_beta 109.47
_cell_angle_gamma 90.00
_symmetry_space_group_name_H-M 'C 1 2/m 1'
_symmetry_Int_Tables_number 12
_symmetry_space_group_name_Hall '-C 2y'
loop_
_atom_site_label
_atom_site_fract_x
_atom_site_fract_y
_atom_site_fract_z
Hf1 0.249 0.167 0.249
Hf2 0.250 0.000 0.751
C1 0.000 0.000 0.000
C2 0.000 0.167 0.500
C3 0.000 0.333 0.000
N1 0.000 0.500 0.500
```

***

No. 6
Material: Hf8C4N
Method: DFT, GGA-PBE
State: relaxed

D(E_F): 0.22 states/eV per atom
magnetization: 0.00 μB per formula unit
E_form (uncorrected): -0.931 eV per atom

```
data_Hf8C4N
_chemical_formula_sum 'Hf24 C12 N3'
_cell_length_a 6.5491
_cell_length_b 6.5491
_cell_length_c 15.8578
_cell_angle_alpha 90.00
_cell_angle_beta 90.00
_cell_angle_gamma 120.00
_symmetry_space_group_name_H-M 'R -3 m'
_symmetry_Int_Tables_number 166
_symmetry_space_group_name_Hall '-R 3 2"'
loop_
_atom_site_label
_atom_site_fract_x
_atom_site_fract_y
_atom_site_fract_z
Hf1 0.0000 0.0000 0.2457
Hf2 0.0076 0.5038 0.7534
C1 0.0000 0.0000 0.5000
C2 0.0000 0.5000 0.5000
N1 0.0000 0.0000 0.0000
```

***

No. 7
Material: Hf4CN2
Method: DFT, GGA-PBE
State: relaxed

D(E_F): 0.28 states/eV per atom
magnetization: 0.00 μB per formula unit
E_form (uncorrected): -1.267 eV per atom
energy relative to the lowest polymorph listed for this composition: 0.000 eV per atom

```
data_Hf4CN2
_chemical_formula_sum 'Hf8 C2 N4'
_cell_length_a 11.978
_cell_length_b 3.232
_cell_length_c 5.543
_cell_angle_alpha 90.00
_cell_angle_beta 116.82
_cell_angle_gamma 90.00
_symmetry_space_group_name_H-M 'C 1 2/m 1'
_symmetry_Int_Tables_number 12
_symmetry_space_group_name_Hall '-C 2y'
loop_
_atom_site_label
_atom_site_fract_x
_atom_site_fract_y
_atom_site_fract_z
Hf1 0.127 0.000 0.471
Hf2 0.129 0.500 0.955
C1 0.000 0.500 0.500
N1 0.239 0.000 0.236
```

***

No. 8
Material: Hf6CN
Method: DFT, GGA-PBE
State: relaxed

D(E_F): 0.92 states/eV per atom
magnetization: 0.00 μB per formula unit
E_form (uncorrected): -0.692 eV per atom

```
data_Hf6CN
_chemical_formula_sum 'Hf12 C2 N2'
_cell_length_a 5.6145
_cell_length_b 5.6145
_cell_length_c 10.4752
_cell_angle_alpha 90.00
_cell_angle_beta 90.00
_cell_angle_gamma 120.00
_symmetry_space_group_name_H-M 'P -3 1 c'
_symmetry_Int_Tables_number 163
_symmetry_space_group_name_Hall '-P 3 2c'
loop_
_atom_site_label
_atom_site_fract_x
_atom_site_fract_y
_atom_site_fract_z
Hf1 0.0122 0.3331 0.1238
C1 0.3333 0.6667 0.2500
N1 0.0000 0.0000 0.0000
```

***

No. 9
Material: HfNbCN
Method: DFT, GGA-PBE
State: relaxed

D(E_F): 0.41 states/eV per atom
magnetization: 0.00 μB per formula unit
E_form (uncorrected): -1.085 eV per atom
energy relative to the lowest polymorph listed for this composition: 0.000 eV per atom

```
data_HfNbCN
_chemical_formula_sum 'Hf3 Nb3 C3 N3'
_cell_length_a 3.2003
_cell_length_b 3.2003
_cell_length_c 15.7875
_cell_angle_alpha 90.00
_cell_angle_beta 90.00
_cell_angle_gamma 120.00
_symmetry_space_group_name_H-M 'R 3 m'
_symmetry_Int_Tables_number 160
_symmetry_space_group_name_Hall 'R 3 -2"'
loop_
_atom_site_label
_atom_site_fract_x
_atom_site_fract_y
_atom_site_fract_z
Hf1 0.0000 0.0000 0.0000
Nb1 0.0000 0.0000 0.4954
C1 0.0000 0.0000 0.7489
N1 0.0000 0.0000 0.2491
```

***

No. 10
Material: HfNbCN
Method: DFT, GGA-PBE
State: relaxed

D(E_F): 0.03 states/eV per atom
magnetization: 0.00 μB per formula unit
E_form (uncorrected): -0.980 eV per atom
energy relative to the lowest polymorph listed for this composition: 0.105 eV per atom

```
data_HfNbCN
_chemical_formula_sum 'Hf3 Nb3 C3 N3'
_cell_length_a 3.1640
_cell_length_b 3.1640
_cell_length_c 16.4190
_cell_angle_alpha 90.00
_cell_angle_beta 90.00
_cell_angle_gamma 120.00
_symmetry_space_group_name_H-M 'R 3 m'
_symmetry_Int_Tables_number 160
_symmetry_space_group_name_Hall 'R 3 -2"'
loop_
_atom_site_label
_atom_site_fract_x
_atom_site_fract_y
_atom_site_fract_z
Hf1 0.0000 0.0000 0.0000
Nb1 0.0000 0.0000 0.1752
C1 0.0000 0.0000 0.4229
N1 0.0000 0.0000 0.5917
```

***

No. 11
Material: Hf6C2N3O
Method: DFT, GGA-PBE
State: relaxed

D(E_F): 0.28 states/eV per atom
magnetization: 0.00 μB per formula unit
E_form (uncorrected): -1.656 eV per atom

```
data_Hf6C2N3O
_chemical_formula_sum 'Hf12 C4 N6 O2'
_cell_length_a 5.622
_cell_length_b 9.736
_cell_length_c 5.609
_cell_angle_alpha 90.00
_cell_angle_beta 109.59
_cell_angle_gamma 90.00
_symmetry_space_group_name_H-M 'C 1 2/m 1'
_symmetry_Int_Tables_number 12
_symmetry_space_group_name_Hall '-C 2y'
loop_
_atom_site_label
_atom_site_fract_x
_atom_site_fract_y
_atom_site_fract_z
Hf1 0.236 0.000 0.259
Hf2 0.242 0.174 0.751
C1 0.000 0.166 0.000
N1 0.000 0.000 0.500
N2 0.000 0.333 0.500
O1 0.000 0.500 0.000
```

***

No. 12
Material: Hf6CN3O2
Method: DFT, GGA-PBE
State: relaxed

D(E_F): 0.30 states/eV per atom
magnetization: 0.00 μB per formula unit
E_form (uncorrected): -1.831 eV per atom

```
data_Hf6CN3O2
_chemical_formula_sum 'Hf12 C2 N6 O4'
_cell_length_a 5.601
_cell_length_b 9.680
_cell_length_c 5.589
_cell_angle_alpha 90.00
_cell_angle_beta 109.48
_cell_angle_gamma 90.00
_symmetry_space_group_name_H-M 'C 1 2/m 1'
_symmetry_Int_Tables_number 12
_symmetry_space_group_name_Hall '-C 2y'
loop_
_atom_site_label
_atom_site_fract_x
_atom_site_fract_y
_atom_site_fract_z
Hf1 0.235 0.000 0.242
Hf2 0.246 0.160 0.761
C1 0.000 0.000 0.500
N1 0.000 0.169 0.000
N2 0.000 0.500 0.000
O1 0.000 0.332 0.500
```